KTh2TeO8: optimized geometry, PBE-GGA.

Lattice parameters (Å, degrees): 5.493 4.991 7.333 73.00 94.88 101.22
Positions (direct):
Th: 0.543 0.367 0.783
Th: 0.457 0.633 0.217
O: 0.943 0.284 0.764
O: 0.733 0.715 0.928
O: 0.732 0.091 0.113
O: 0.268 0.909 0.887
O: 0.512 0.730 0.510
O: 0.267 0.285 0.072
O: 0.057 0.716 0.236
O: 0.488 0.270 0.490
K: 0.000 0.000 0.500
Te: 0.000 0.000 0.000

Computed properties:
**Calculated density**: 6.68 g cm⁻³
**Uncorrected energy**: -7.22 eV/atom

---

Zn2CuP: optimized geometry, PBE-GGA.

Lattice parameters (Å, degrees): 8.612 8.612 8.612 18.69 18.69 18.69
Positions (direct):
Cu: 0.250 0.250 0.250
Zn: 0.503 0.503 0.503
Zn: 0.997 0.997 0.997
P: 0.750 0.750 0.750

Computed properties:
**Calculated density**: 6.53 g cm⁻³
**Uncorrected energy**: -2.84 eV/atom

---

Li3Ge5Cl12: optimized geometry, PBE-GGA.

Lattice parameters (Å, degrees): 14.098 14.098 14.098 109.47 109.47 109.47
Positions (direct):
Cl: 0.828 0.378 0.524
Cl: 0.196 0.146 0.524
Cl: 0.878 0.354 0.050
Cl: 0.378 0.550 0.854
Cl: 0.696 0.024 0.646
Cl: 0.622 0.450 0.146
Cl: 0.024 0.696 0.146
Cl: 0.696 0.672 0.550
Cl: 0.524 0.878 0.828
Cl: 0.950 0.146 0.122
Cl: 0.196 0.050 0.172
Cl: 0.476 0.122 0.172
Cl: 0.672 0.696 0.050
Cl: 0.378 0.828 0.024
Cl: 0.450 0.828 0.304
Cl: 0.172 0.550 0.196
Cl: 0.804 0.950 0.828
Cl: 0.050 0.196 0.672
Cl: 0.646 0.524 0.696
Cl: 0.450 0.622 0.646
Cl: 0.550 0.172 0.696
Cl: 0.304 0.976 0.354
Cl: 0.146 0.950 0.622
Cl: 0.354 0.878 0.550
Cl: 0.828 0.450 0.804
Cl: 0.804 0.854 0.476
Cl: 0.672 0.976 0.122
Cl: 0.304 0.328 0.450
Cl: 0.354 0.476 0.304
Cl: 0.328 0.304 0.950
Cl: 0.950 0.804 0.328
Cl: 0.976 0.304 0.854
Cl: 0.476 0.354 0.804
Cl: 0.172 0.622 0.476
Cl: 0.050 0.854 0.878
Cl: 0.550 0.378 0.354
Cl: 0.524 0.646 0.196
Cl: 0.146 0.196 0.024
Cl: 0.854 0.804 0.976
Cl: 0.122 0.646 0.950
Cl: 0.122 0.476 0.672
Cl: 0.024 0.328 0.378
Cl: 0.328 0.024 0.878
Cl: 0.976 0.672 0.622
Cl: 0.878 0.524 0.328
Cl: 0.646 0.122 0.450
Cl: 0.622 0.172 0.976
Cl: 0.854 0.050 0.378
Ge: 0.875 0.250 0.625
Ge: 0.750 0.625 0.375
Ge: 0.875 0.625 0.750
Ge: 0.250 0.375 0.625
Ge: 0.500 0.500 0.000
Ge: 0.375 0.250 0.125
Ge: 0.000 0.000 0.500
Ge: 0.500 0.000 0.000
Ge: 0.750 0.125 0.875
Ge: 0.125 0.375 0.250
Ge: 0.500 0.000 0.500
Ge: 0.000 0.500 0.000
Ge: 0.000 0.500 0.500
Ge: 0.375 0.125 0.750
Ge: 0.125 0.750 0.375
Ge: 0.500 0.500 0.500
Ge: 0.000 0.000 0.000
Ge: 0.250 0.875 0.125
Ge: 0.625 0.750 0.875
Ge: 0.625 0.875 0.250
Li: 0.375 0.625 0.250
Li: 0.750 0.375 0.125
Li: 0.625 0.375 0.750
Li: 0.125 0.250 0.875
Li: 0.875 0.125 0.250
Li: 0.875 0.750 0.125
Li: 0.625 0.250 0.375
Li: 0.750 0.875 0.625
Li: 0.125 0.875 0.750
Li: 0.375 0.750 0.625
Li: 0.250 0.625 0.875
Li: 0.250 0.125 0.375

Computed properties:
**Calculated density**: 2.49 g cm⁻³
**Uncorrected energy**: -3.41 eV/atom

---

GdPu2Fe: optimized geometry, PBE-GGA.

Lattice parameters (Å, degrees): 3.307 3.307 8.691 90.00 90.00 90.00
Positions (direct):
Gd: 0.500 0.500 0.500
Pu: 0.000 0.000 0.810
Pu: 0.000 0.000 0.190
Fe: 0.500 0.500 0.000

Computed properties:
**Excess energy over the best structure of this formula in the dataset**: 0 meV per atom
**Calculated density**: 12.25 g cm⁻³

---

Pm4TlPd2: optimized geometry, PBE-GGA.

Lattice parameters (Å, degrees): 7.984 7.984 7.984 108.49 111.45 108.49
Positions (direct):
Pd: 0.497 0.372 0.625
Pd: 0.253 0.628 0.125
Pd: 0.375 0.872 0.747
Pd: 0.875 0.128 0.503
Pm: 0.613 0.758 0.504
Pm: 0.746 0.242 0.855
Pm: 0.004 0.609 0.746
Pm: 0.254 0.258 0.863
Pm: 0.137 0.391 0.395
Pm: 0.145 0.891 0.387
Pm: 0.496 0.109 0.254
Pm: 0.605 0.742 0.996
Tl: 0.000 0.000 0.000
Tl: 0.750 0.500 0.250

Computed properties:
**Calculated density**: 8.46 g cm⁻³
**Uncorrected energy**: -5.00 eV/atom

---

Pr3Sm8Dy4: optimized geometry, PBE-GGA.

Lattice parameters (Å, degrees): 6.911 9.308 9.308 82.16 111.74 111.74
Positions (direct):
Sm: 0.000 0.295 0.705
Sm: 0.000 0.705 0.295
Sm: 0.757 0.753 0.753
Sm: 0.500 0.753 0.247
Sm: 0.795 0.296 0.296
Sm: 0.500 0.247 0.753
Sm: 0.205 0.704 0.704
Sm: 0.243 0.247 0.247
Pr: 0.500 0.500 0.500
Pr: 0.500 0.500 0.000
Pr: 0.500 0.000 0.500
Dy: 0.000 0.500 0.000
Dy: 0.500 0.000 0.000
Dy: 0.000 0.000 0.500
Dy: 0.000 0.000 0.000

Computed properties:
**Calculated density**: 7.32 g cm⁻³
**Uncorrected energy**: -4.36 eV/atom

---

BaAg2AuCl8: optimized geometry, PBE-GGA.

Lattice parameters (Å, degrees): 9.636 5.236 8.861 94.86 75.17 91.67
Positions (direct):
Ba: 0.000 0.000 0.500
Cl: 0.388 0.251 0.938
Cl: 0.208 0.472 0.422
Cl: 0.148 0.828 0.765
Cl: 0.119 0.773 0.143
Cl: 0.612 0.749 0.062
Cl: 0.881 0.227 0.857
Cl: 0.852 0.172 0.235
Cl: 0.792 0.528 0.578
Ag: 0.393 0.533 0.181
Ag: 0.607 0.467 0.819
Au: 0.000 0.000 0.000

Computed properties:
**Calculated density**: 3.21 g cm⁻³
**Uncorrected energy**: -2.98 eV/atom

---

YScRh4: optimized geometry, PBE-GGA.

Lattice parameters (Å, degrees): 5.276 5.276 5.276 60.00 60.00 60.00
Positions (direct):
Rh: 0.625 0.126 0.625
Rh: 0.126 0.625 0.625
Rh: 0.625 0.625 0.625
Rh: 0.625 0.625 0.126
Sc: 0.250 0.250 0.250
Y: 0.000 0.000 0.000

Computed properties:
**Calculated density**: 8.72 g cm⁻³
**Uncorrected energy**: -7.75 eV/atom

---

Ce2DyV: optimized geometry, PBE-GGA.

Lattice parameters (Å, degrees): 3.360 3.360 10.484 80.78 80.78 60.00
Positions (direct):
Ce: 0.739 0.739 0.782
Ce: 0.261 0.261 0.218
V: 0.000 0.000 0.000
Dy: 0.500 0.500 0.500

Computed properties:
**Calculated density**: 8.14 g cm⁻³
**Uncorrected energy**: -6.05 eV/atom

---

Ho2FeRh: optimized geometry, PBE-GGA.

Lattice parameters (Å, degrees): 4.760 4.760 4.760 60.00 60.00 60.00
Positions (direct):
Rh: 0.500 0.500 0.500
Ho: 0.750 0.750 0.750
Ho: 0.250 0.250 0.250
Fe: 0.000 0.000 0.000

Computed properties:
**Excess energy over the best structure of this formula in the dataset**: 27 meV per atom
**Calculated density**: 10.64 g cm⁻³

---

TlInW2: optimized geometry, PBE-GGA.

Lattice parameters (Å, degrees): 5.554 5.554 5.134 78.34 78.34 30.13
Positions (direct):
In: 0.485 0.485 0.522
Tl: 0.263 0.263 0.230
W: 0.019 0.019 0.999
W: 0.732 0.732 0.749

Computed properties:
**Excess energy over the best structure of this formula in the dataset**: 370 meV per atom
**Calculated density**: 14.67 g cm⁻³

---

HfZr2Te6: optimized geometry, PBE-GGA.

Lattice parameters (Å, degrees): 7.050 7.050 11.987 90.00 90.00 90.00
Positions (direct):
Zr: 0.500 0.500 0.666
Zr: 0.000 0.000 0.166
Zr: 0.500 0.500 0.334
Zr: 0.000 0.000 0.834
Te: 0.702 0.702 0.166
Te: 0.298 0.298 0.166
Te: 0.702 0.702 0.834
Te: 0.206 0.794 0.000
Te: 0.294 0.294 0.500
Te: 0.794 0.206 0.000
Te: 0.706 0.706 0.500
Te: 0.202 0.798 0.334
Te: 0.798 0.202 0.334
Te: 0.798 0.202 0.666
Te: 0.202 0.798 0.666
Te: 0.298 0.298 0.834
Hf: 0.000 0.000 0.500
Hf: 0.500 0.500 0.000

Computed properties:
**Excess energy over the best structure of this formula in the dataset**: 147 meV per atom
**Calculated density**: 6.28 g cm⁻³

---

CsPu2MnS4: optimized geometry, PBE-GGA.

Lattice parameters (Å, degrees): 4.083 7.443 14.053 90.00 90.00 105.92
Positions (direct):
S: 0.588 0.176 0.250
S: 0.412 0.824 0.750
S: 0.254 0.509 0.393
S: 0.746 0.491 0.607
S: 0.254 0.509 0.107
S: 0.000 0.000 0.500
S: 0.000 0.000 0.000
S: 0.746 0.491 0.893
Pu: 0.631 0.263 0.053
Pu: 0.369 0.737 0.947
Pu: 0.369 0.737 0.553
Pu: 0.631 0.263 0.447
Cs: 0.899 0.799 0.250
Cs: 0.101 0.201 0.750
Mn: 0.173 0.346 0.250
Mn: 0.827 0.654 0.750

Computed properties:
**Calculated density**: 6.50 g cm⁻³
**Uncorrected energy**: -8.25 eV/atom

---

Na3LiH: optimized geometry, PBE-GGA.

Lattice parameters (Å, degrees): 4.942 4.942 4.942 90.00 90.00 90.00
Positions (direct):
Na: 0.000 0.000 0.500
Na: 0.000 0.500 0.000
Na: 0.500 0.000 0.000
H: 0.000 0.000 0.000
Li: 0.500 0.500 0.500

Computed properties:
**Excess energy over the best structure of this formula in the dataset**: 0 meV per atom
**Calculated density**: 1.06 g cm⁻³

---

TaCoIr: optimized geometry, PBE-GGA.

Lattice parameters (Å, degrees): 4.166 4.166 4.166 60.00 60.00 60.00
Positions (direct):
Ta: 0.750 0.750 0.750
Co: 0.000 0.000 0.000
Ir: 0.500 0.500 0.500

Computed properties:
**Excess energy over the best structure of this formula in the dataset**: 553 meV per atom
**Calculated density**: 14.03 g cm⁻³

---

CaPa3Cu4O12: optimized geometry, PBE-GGA.

Lattice parameters (Å, degrees): 7.067 7.067 7.067 105.41 105.41 105.41
Positions (direct):
Cu: 0.500 0.500 0.500
Cu: 0.930 0.070 0.500
Cu: 0.500 0.930 0.070
Cu: 0.070 0.500 0.930
O: 0.767 0.008 0.658
O: 0.500 0.105 0.895
O: 0.105 0.895 0.500
O: 0.500 0.335 0.665
O: 0.342 0.992 0.233
O: 0.665 0.500 0.335
O: 0.895 0.500 0.105
O: 0.658 0.767 0.008
O: 0.008 0.658 0.767
O: 0.233 0.342 0.992
O: 0.992 0.233 0.342
O: 0.335 0.665 0.500
Ca: 0.000 0.000 0.000
Pa: 0.551 0.449 0.000
Pa: 0.000 0.551 0.449
Pa: 0.449 0.000 0.551

Computed properties:
**Calculated density**: 6.40 g cm⁻³
**Uncorrected energy**: -7.57 eV/atom

---

Ac2ErSb3Rh4: optimized geometry, PBE-GGA.

Lattice parameters (Å, degrees): 4.567 4.567 11.145 90.00 90.00 90.00
Positions (direct):
Rh: 0.500 0.500 0.000
Rh: 0.000 0.500 0.360
Rh: 0.000 0.000 0.000
Rh: 0.500 0.000 0.640
Ac: 0.000 0.500 0.765
Ac: 0.500 0.000 0.235
Er: 0.500 0.500 0.500
Sb: 0.000 0.500 0.124
Sb: 0.000 0.000 0.500
Sb: 0.500 0.000 0.876

Computed properties:
**Calculated density**: 9.99 g cm⁻³
**Uncorrected energy**: -6.35 eV/atom

---

Ac4Sn4Pb: optimized geometry, PBE-GGA.

Lattice parameters (Å, degrees): 7.003 9.693 9.693 90.00 90.00 90.00
Positions (direct):
Sn: 0.178 0.910 0.736
Sn: 0.678 0.764 0.410
Sn: 0.322 0.590 0.764
Sn: 0.822 0.736 0.090
Sn: 0.178 0.090 0.264
Sn: 0.678 0.236 0.590
Sn: 0.322 0.410 0.236
Sn: 0.822 0.264 0.910
Ac: 0.160 0.762 0.434
Ac: 0.160 0.238 0.566
Ac: 0.660 0.066 0.262
Ac: 0.340 0.738 0.066
Ac: 0.660 0.934 0.738
Ac: 0.840 0.434 0.238
Ac: 0.840 0.566 0.762
Ac: 0.340 0.262 0.934
Pb: 0.500 0.500 0.500
Pb: 0.000 0.000 0.000

Computed properties:
**Calculated density**: 8.03 g cm⁻³
**Uncorrected energy**: -4.44 eV/atom

---

Pr4YSc3: optimized geometry, PBE-GGA.

Lattice parameters (Å, degrees): 3.488 5.728 17.384 127.43 95.76 90.00
Positions (direct):
Sc: 0.794 0.746 0.588
Sc: 0.206 0.254 0.412
Sc: 0.000 0.500 0.000
Pr: 0.310 0.300 0.620
Pr: 0.690 0.700 0.380
Pr: 0.600 0.868 0.199
Pr: 0.400 0.132 0.801
Y: 0.500 0.000 0.000

Computed properties:
**Calculated density**: 4.78 g cm⁻³
**Uncorrected energy**: -5.29 eV/atom